Compound: UNiBi2
Source: Alexandria via LeMat-Bulk
Functional: PBE-GGA
Structure: optimized geometry

a b c (Å): 3.349 3.349 10.525
angles (deg): 80.85 80.85 60.00
Each line ends with the local moment (μB).
Atoms (fractional coordinates):
Bi 0.105 0.105 0.684  -0.02
Ni 0.500 0.500 0.500  -0.07
U 0.000 0.000 0.000  2.81
Bi 0.895 0.895 0.316  -0.02

magnetic moment = 3.13 μB per cell
calculated density = 11.8 g/cm3
VASP energy = -5.791 eV per atom
ΔH_f (0 K) = 1.7 eV per formula unit
SG = R-3m, No. 166

=====

Compound: BeAg2Cl
Source: Alexandria via LeMat-Bulk
Functional: PBE-GGA
Structure: optimized geometry

a b c (Å): 3.126 3.116 7.116
angles (deg): 89.48 90.00 90.00
Atoms (fractional coordinates):
Ag 0.000 0.744 0.445
Ag 0.000 0.756 0.055
Be 0.500 0.250 0.250
Cl 0.500 0.750 0.750

magnetic moment = 0.00 μB per cell
calculated density = 6.2 g/cm3
VASP energy = -2.706 eV per atom
formation energy without anion corrections = 113 meV per atom
SG = P2/m, No. 10

=====

Compound: Tb3Nd5Tm2
Source: Alexandria via LeMat-Bulk
Functional: PBE-GGA
Structure: optimized geometry

a b c (Å): 11.016 9.987 9.987
angles (deg): 56.24 56.53 56.53
Atoms (fractional coordinates):
Nd 0.495 0.755 0.755
Nd 0.357 0.752 0.534
Tb 0.884 0.859 0.373
Tm 0.881 0.198 0.039
Tb 0.116 0.141 0.627
Nd 0.005 0.245 0.245
Tb 0.250 0.000 0.000
Nd 0.995 0.755 0.755
Tb 0.616 0.627 0.141
Tm 0.119 0.802 0.961
Tb 0.384 0.373 0.859
Tb 0.750 0.000 0.000
Tm 0.381 0.039 0.198
Nd 0.143 0.466 0.248
Nd 0.643 0.248 0.466
Nd 0.857 0.534 0.752
Nd 0.250 0.500 0.500
Nd 0.505 0.245 0.245
Nd 0.750 0.500 0.500
Tm 0.619 0.961 0.802

magnetic moment = 0.00 μB per cell
calculated density = 7.2 g/cm3
VASP energy = -4.296 eV per atom
ΔH_f (0 K) = 3.7 eV per formula unit
SG = Ibam, No. 72

=====

Compound: BaSrBr2
Source: Alexandria via LeMat-Bulk
Functional: PBE-GGA
Structure: optimized geometry

a b c (Å): 5.719 5.719 4.050
angles (deg): 90.00 90.00 90.07
Each line ends with the local moment (μB).
Atoms (fractional coordinates):
Ba 0.000 0.500 0.500  0.24
Sr 0.500 0.000 0.500  0.18
Br 0.000 0.000 0.000  0.01
Br 0.500 0.500 0.000  0.01

magnetic moment = 1.25 μB per cell
calculated density = 4.8 g/cm3
VASP energy = -3.004 eV per atom
formation energy without anion corrections = -1267 meV per atom
SG = Cmmm, No. 65